A geometry-optimized CsSbSO4F2 structure, computed with PBE.

POSCAR file:
```
CsSbSO4F2
1.0
10.164 0.000 0.000
0.000 11.530 0.000
0.000 0.000 5.639
Cs Sb S O F
4 4 4 16 8
Direct
0.021 0.165 0.000 Cs
0.479 0.665 0.500 Cs
0.521 0.335 0.000 Cs
0.979 0.835 0.500 Cs
0.175 0.588 0.999 Sb
0.325 0.088 0.499 Sb
0.675 0.912 0.999 Sb
0.825 0.412 0.499 Sb
0.190 0.372 0.561 S
0.310 0.872 0.061 S
0.690 0.128 0.561 S
0.810 0.628 0.061 S
0.072 0.337 0.427 O
0.142 0.430 0.791 O
0.223 0.949 0.927 O
0.235 0.766 0.148 O
0.265 0.266 0.648 O
0.277 0.449 0.427 O
0.358 0.930 0.291 O
0.428 0.837 0.927 O
0.572 0.163 0.427 O
0.642 0.070 0.791 O
0.723 0.551 0.927 O
0.735 0.734 0.148 O
0.765 0.234 0.648 O
0.777 0.051 0.427 O
0.858 0.570 0.291 O
0.928 0.663 0.927 O
0.133 0.061 0.466 F
0.183 0.669 0.693 F
0.317 0.169 0.193 F
0.367 0.561 0.966 F
0.633 0.439 0.466 F
0.683 0.831 0.693 F
0.817 0.331 0.193 F
0.867 0.939 0.966 F
```

The symmetry is No. 33. The calculation puts the density of states at the Fermi level at 0.000 states/eV per atom. As for the formation energy (no corrections): -1.89 eV per atom.

A geometry-optimized CsSbOF4 structure, computed with PBE.

POSCAR file:
```
CsSbOF4
1.0
7.336 -5.498 0.000
7.336 5.498 0.000
0.000 0.000 21.084
Cs Sb O F
12 12 12 48
Direct
0.171 0.829 0.891 Cs
0.201 0.299 0.250 Cs
0.202 0.202 0.500 Cs
0.298 0.298 0.000 Cs
0.299 0.201 0.750 Cs
0.329 0.671 0.391 Cs
0.671 0.329 0.609 Cs
0.701 0.799 0.250 Cs
0.702 0.702 0.000 Cs
0.798 0.798 0.500 Cs
0.799 0.701 0.750 Cs
0.829 0.171 0.109 Cs
0.033 0.967 0.645 Sb
0.070 0.686 0.115 Sb
0.186 0.570 0.615 Sb
0.314 0.930 0.115 Sb
0.430 0.814 0.615 Sb
0.467 0.533 0.145 Sb
0.533 0.467 0.855 Sb
0.570 0.186 0.385 Sb
0.686 0.070 0.885 Sb
0.814 0.430 0.385 Sb
0.930 0.314 0.885 Sb
0.967 0.033 0.355 Sb
0.032 0.767 0.612 O
0.134 0.866 0.137 O
0.233 0.968 0.612 O
0.267 0.532 0.112 O
0.366 0.634 0.637 O
0.468 0.733 0.112 O
0.532 0.267 0.888 O
0.634 0.366 0.363 O
0.733 0.468 0.888 O
0.767 0.032 0.388 O
0.866 0.134 0.863 O
0.968 0.233 0.388 O
0.009 0.173 0.674 F
0.019 0.476 0.908 F
0.024 0.481 0.592 F
0.037 0.642 0.203 F
0.059 0.941 0.434 F
0.070 0.723 0.024 F
0.106 0.894 0.729 F
0.139 0.180 0.884 F
0.142 0.537 0.703 F
0.173 0.009 0.326 F
0.180 0.139 0.116 F
0.223 0.570 0.524 F
0.277 0.930 0.024 F
0.320 0.361 0.616 F
0.327 0.491 0.826 F
0.358 0.963 0.203 F
0.361 0.320 0.384 F
0.394 0.606 0.229 F
0.430 0.777 0.524 F
0.441 0.559 0.934 F
0.463 0.858 0.703 F
0.476 0.019 0.092 F
0.481 0.024 0.408 F
0.491 0.327 0.174 F
0.509 0.673 0.826 F
0.519 0.976 0.592 F
0.524 0.981 0.908 F
0.537 0.142 0.297 F
0.559 0.441 0.066 F
0.570 0.223 0.476 F
0.606 0.394 0.771 F
0.639 0.680 0.616 F
0.642 0.037 0.797 F
0.673 0.509 0.174 F
0.680 0.639 0.384 F
0.723 0.070 0.976 F
0.777 0.430 0.476 F
0.820 0.861 0.884 F
0.827 0.991 0.674 F
0.858 0.463 0.297 F
0.861 0.820 0.116 F
0.894 0.106 0.271 F
0.930 0.277 0.976 F
0.941 0.059 0.566 F
0.963 0.358 0.797 F
0.976 0.519 0.408 F
0.981 0.524 0.092 F
0.991 0.827 0.326 F
```

The symmetry is No. 64. The calculation puts the density of states at the Fermi level at 0.000 states/eV per atom. As for the formation energy (no corrections): -2.42 eV per atom.

A geometry-optimized Cs2SbOF3 structure, computed with PBE.

POSCAR file:
```
Cs2SbOF3
1.0
-2.184 2.382 7.653
2.184 -2.382 7.653
2.184 2.382 -7.653
Cs Sb O F
2 1 1 3
Direct
0.148 0.148 0.000 Cs
0.852 0.852 0.000 Cs
0.500 0.500 0.000 Sb
0.500 0.000 0.500 O
0.000 0.500 0.500 F
0.349 0.349 0.000 F
0.651 0.651 0.000 F
```

The symmetry is No. 71. The calculation puts the density of states at the Fermi level at 0.039 states/eV per atom. As for the formation energy (no corrections): -2.20 eV per atom.

A geometry-optimized CsSbOF2 structure, computed with PBE.

POSCAR file:
```
CsSbOF2
1.0
5.156 0.000 0.000
0.000 5.156 0.000
0.000 0.000 4.553
Cs Sb O F
1 1 1 2
Direct
0.000 0.000 0.000 Cs
0.500 0.500 0.500 Sb
0.000 0.000 0.500 O
0.000 0.500 0.000 F
0.500 0.000 0.000 F
```

The symmetry is No. 123. The calculation puts the density of states at the Fermi level at 1.071 states/eV per atom. As for the formation energy (no corrections): -0.26 eV per atom. The energy above the most stable polymorph in this dataset is 1727 meV per atom.

A geometry-optimized CsSbOF2 structure, computed with PBE.

POSCAR file:
```
CsSbOF2
1.0
4.777 0.000 0.000
0.000 4.777 0.000
0.000 0.000 4.290
Cs Sb O F
1 1 1 2
Direct
0.000 0.000 0.000 Cs
0.500 0.500 0.500 Sb
0.500 0.500 0.000 O
0.000 0.500 0.500 F
0.500 0.000 0.500 F
```

The symmetry is No. 123. The calculation puts the density of states at the Fermi level at 0.011 states/eV per atom. As for the formation energy (no corrections): -1.99 eV per atom. The energy above the most stable polymorph in this dataset is 0 meV per atom.

A geometry-optimized Cs5SbO4F2 structure, computed with PBE.

POSCAR file:
```
Cs5SbO4F2
1.0
8.454 0.000 0.000
0.000 5.626 3.548
0.000 -5.626 3.548
Cs Sb O F
5 1 4 2
Direct
0.000 0.000 0.000 Cs
0.263 0.312 0.674 Cs
0.263 0.674 0.312 Cs
0.737 0.312 0.674 Cs
0.737 0.674 0.312 Cs
0.500 0.006 0.006 Sb
0.317 0.168 0.168 O
0.500 0.710 0.988 O
0.500 0.988 0.710 O
0.683 0.168 0.168 O
0.000 0.546 0.973 F
0.000 0.973 0.546 F
```

The symmetry is No. 38. The calculation puts the density of states at the Fermi level at 0.000 states/eV per atom. As for the formation energy (no corrections): -1.91 eV per atom.

A geometry-optimized CsScO2F structure, computed with PBE.

POSCAR file:
```
CsScO2F
1.0
4.536 0.000 0.000
0.000 4.536 0.000
0.000 0.000 5.074
Cs Sc O F
1 1 2 1
Direct
0.000 0.000 0.000 Cs
0.500 0.500 0.500 Sc
0.000 0.500 0.000 O
0.500 0.000 0.000 O
0.000 0.000 0.500 F
```

The symmetry is No. 123. The calculation puts the density of states at the Fermi level at 0.713 states/eV per atom. As for the formation energy (no corrections): -0.29 eV per atom.

A geometry-optimized CsScO2F structure, computed with PBE.

POSCAR file:
```
CsScO2F
1.0
4.224 0.000 0.000
0.000 4.224 0.000
0.000 0.000 4.556
Cs Sc O F
1 1 2 1
Direct
0.000 0.000 0.000 Cs
0.500 0.500 0.500 Sc
0.000 0.500 0.500 O
0.500 0.000 0.500 O
0.500 0.500 0.000 F
```

The symmetry is No. 123. The calculation puts the density of states at the Fermi level at 0.180 states/eV per atom. As for the formation energy (no corrections): -2.52 eV per atom.

Question: What is the formation energy (no corrections) in the eighth record?
Answer: -2.52 eV per atom

Question: Look up the formation energy (no corrections) of the first one.
Answer: -1.89 eV per atom